Entry 1:
The following is a GGA-PBE calculation of an optimized crystal structure of AcBPt3, from the Alexandria database.

Calculated values
Its crystal system is hexagonal. The value obtained for the density of states at the Fermi level is 0.505 states/eV/atom. Its calculated formation energy is -0.627 eV per atom. For the total magnetic moment, the calculation gives 0.00 μB/f.u. Its distance to the lowest polymorph of the same formula is 22 meV/atom.

Cell and atoms, written as POSCAR:
```
AcBPt3
1.0
6.0791 0.0000 0.0000
-3.0395 5.2646 0.0000
0.0000 0.0000 5.6915
Ac B Pt
2 2 6
Direct
0.3333 0.6667 0.2500
0.6667 0.3333 0.7500
0.0000 0.0000 0.0000
0.0000 0.0000 0.5000
0.1668 0.3335 0.7500
0.1668 0.8332 0.7500
0.3335 0.1668 0.2500
0.6665 0.8332 0.7500
0.8332 0.1668 0.2500
0.8332 0.6665 0.2500
```

---

Entry 2:
The following is a GGA-PBE calculation of an optimized crystal structure of Ac3B2Pt9, from the Alexandria database.

Calculated values
Its crystal system is hexagonal. The value obtained for the density of states at the Fermi level is 0.372 states/eV/atom. Its calculated formation energy is -0.757 eV per atom. For the total magnetic moment, the calculation gives 0.00 μB/f.u.

Cell and atoms, written as POSCAR:
```
Ac3B2Pt9
1.0
6.6724 0.0000 0.0000
-3.3362 5.7785 0.0000
0.0000 0.0000 13.9387
Ac B Pt
6 4 18
Direct
0.0000 0.0000 0.2500
0.0000 0.0000 0.7500
0.3333 0.6667 0.0937
0.3333 0.6667 0.4063
0.6667 0.3333 0.5937
0.6667 0.3333 0.9063
0.3333 0.6667 0.6334
0.3333 0.6667 0.8666
0.6667 0.3333 0.1334
0.6667 0.3333 0.3666
0.0541 0.5270 0.7500
0.1602 0.3203 0.5789
0.1602 0.3203 0.9211
0.1602 0.8398 0.5789
0.1602 0.8398 0.9211
0.3203 0.1602 0.0789
0.3203 0.1602 0.4211
0.4730 0.5270 0.7500
0.4730 0.9459 0.7500
0.5270 0.0541 0.2500
0.5270 0.4730 0.2500
0.6797 0.8398 0.5789
0.6797 0.8398 0.9211
0.8398 0.1602 0.0789
0.8398 0.1602 0.4211
0.8398 0.6797 0.0789
0.8398 0.6797 0.4211
0.9459 0.4730 0.2500
```

---

Entry 3:
The following is a GGA-PBE calculation of an optimized crystal structure of Ac2B3Pt8, from the Alexandria database.

Calculated values
Its crystal system is monoclinic. The value obtained for the density of states at the Fermi level is 0.358 states/eV/atom. Its calculated formation energy is -0.557 eV per atom. For the total magnetic moment, the calculation gives 0.00 μB/f.u.

Cell and atoms, written as POSCAR:
```
Ac2B3Pt8
1.0
6.6614 -2.9459 0.0000
6.6614 2.9459 0.0000
-2.9346 0.0000 6.3535
Ac B Pt
2 3 8
Direct
0.0000 0.0000 0.0000
0.5074 0.5074 0.5508
0.2529 0.2529 0.7725
0.5322 0.9739 0.2733
0.9739 0.5322 0.2733
0.0144 0.5305 0.5782
0.0776 0.0776 0.6387
0.4287 0.4287 0.9113
0.4936 0.9774 0.9698
0.5305 0.0144 0.5782
0.6194 0.6194 0.2277
0.8871 0.8871 0.3216
0.9774 0.4936 0.9698
```

---

Entry 4:
The following is a GGA-PBE calculation of an optimized crystal structure of AcBPt3, from the Alexandria database.

Calculated values
Its crystal system is cubic. The value obtained for the density of states at the Fermi level is 0.838 states/eV/atom. Its calculated formation energy is -0.649 eV per atom. For the total magnetic moment, the calculation gives 0.00 μB/f.u. Its distance to the lowest polymorph of the same formula is 0 meV/atom.

Cell and atoms, written as POSCAR:
```
AcBPt3
1.0
4.4943 0.0000 0.0000
0.0000 4.4943 0.0000
0.0000 0.0000 4.4943
Ac B Pt
1 1 3
Direct
0.0000 0.0000 0.0000
0.5000 0.5000 0.5000
0.0000 0.5000 0.5000
0.5000 0.0000 0.5000
0.5000 0.5000 0.0000
```

---

Entry 5:
The following is a GGA-PBE calculation of an optimized crystal structure of AcB2Pt6, from the Alexandria database.

Calculated values
Its crystal system is cubic. The value obtained for the density of states at the Fermi level is 0.507 states/eV/atom. Its calculated formation energy is -0.595 eV per atom. For the total magnetic moment, the calculation gives 0.00 μB/f.u.

Cell and atoms, written as POSCAR:
```
AcB2Pt6
1.0
0.0000 5.4271 5.4271
5.4271 0.0000 5.4271
5.4271 5.4271 0.0000
Ac B Pt
2 4 12
Direct
0.1250 0.1250 0.1250
0.8750 0.8750 0.8750
0.0000 0.5000 0.5000
0.5000 0.0000 0.5000
0.5000 0.5000 0.0000
0.5000 0.5000 0.5000
0.1653 0.1653 0.5847
0.1653 0.5847 0.1653
0.1653 0.5847 0.5847
0.4153 0.4153 0.8347
0.4153 0.8347 0.4153
0.4153 0.8347 0.8347
0.5847 0.1653 0.1653
0.5847 0.1653 0.5847
0.5847 0.5847 0.1653
0.8347 0.4153 0.4153
0.8347 0.4153 0.8347
0.8347 0.8347 0.4153
```

---

Entry 6:
The following is a GGA-PBE calculation of an optimized crystal structure of AcB2Pt9, from the Alexandria database.

Calculated values
Its crystal system is hexagonal. The value obtained for the density of states at the Fermi level is 0.757 states/eV/atom. Its calculated formation energy is -0.365 eV per atom. For the total magnetic moment, the calculation gives 0.00 μB/f.u.

Cell and atoms, written as POSCAR:
```
AcB2Pt9
1.0
7.5476 0.0000 0.0000
-3.7738 6.5364 0.0000
0.0000 0.0000 3.9536
Ac B Pt
1 2 9
Direct
0.0000 0.0000 0.0000
0.3333 0.6667 0.0000
0.6667 0.3333 0.0000
0.0000 0.5000 0.0000
0.2092 0.4184 0.5000
0.2092 0.7908 0.5000
0.4184 0.2092 0.5000
0.5000 0.0000 0.0000
0.5000 0.5000 0.0000
0.5816 0.7908 0.5000
0.7908 0.2092 0.5000
0.7908 0.5816 0.5000
```

---

Entry 7:
The following is a GGA-PBE calculation of an optimized crystal structure of Ac2B2Pt7, from the Alexandria database.

Calculated values
Its crystal system is monoclinic. The value obtained for the density of states at the Fermi level is 0.389 states/eV/atom. Its calculated formation energy is -0.634 eV per atom. For the total magnetic moment, the calculation gives 0.00 μB/f.u.

Cell and atoms, written as POSCAR:
```
Ac2B2Pt7
1.0
6.8963 0.0000 0.0000
0.0000 4.1295 0.0000
-3.2347 0.0000 7.4169
Ac B Pt
2 2 7
Direct
0.1255 0.0000 0.2939
0.8745 0.0000 0.7061
0.4777 0.5000 0.2259
0.5223 0.5000 0.7741
0.1860 0.5000 0.6430
0.1986 0.5000 0.0041
0.4666 0.0000 0.8285
0.5000 0.5000 0.5000
0.5334 0.0000 0.1715
0.8014 0.5000 0.9959
0.8140 0.5000 0.3570
```

---

Entry 8:
The following is a GGA-PBE calculation of an optimized crystal structure of Ac3BPt8, from the Alexandria database.

Calculated values
Its crystal system is trigonal. The value obtained for the density of states at the Fermi level is 0.560 states/eV/atom. Its calculated formation energy is -0.791 eV per atom. For the total magnetic moment, the calculation gives 0.00 μB/f.u.

Cell and atoms, written as POSCAR:
```
Ac3BPt8
1.0
5.6446 0.0000 0.0000
-2.8223 4.8884 0.0000
0.0000 0.0000 9.3716
Ac B Pt
3 1 8
Direct
0.0000 0.0000 0.0000
0.0000 0.0000 0.3988
0.6667 0.3333 0.5888
0.6667 0.3333 0.1003
0.0126 0.5063 0.2160
0.1664 0.3328 0.7157
0.1664 0.8336 0.7157
0.3333 0.6667 0.4682
0.3333 0.6667 0.9582
0.4937 0.5063 0.2160
0.4937 0.9874 0.2160
0.6672 0.8336 0.7157
```

---

Entry 9:
The following is a GGA-PBE calculation of an optimized crystal structure of AcB4Pt4, from the Alexandria database.

Calculated values
Its crystal system is tetragonal. The value obtained for the density of states at the Fermi level is 0.279 states/eV/atom. Its calculated formation energy is -0.478 eV per atom. For the total magnetic moment, the calculation gives 0.00 μB/f.u.

Cell and atoms, written as POSCAR:
```
AcB4Pt4
1.0
8.2307 0.0000 0.0000
0.0000 8.2307 0.0000
0.0000 0.0000 3.8091
Ac B Pt
2 8 8
Direct
0.2500 0.2500 0.2500
0.7500 0.7500 0.7500
0.0315 0.9224 0.1767
0.0776 0.5315 0.6767
0.4224 0.9685 0.6767
0.4685 0.5776 0.1767
0.5315 0.4224 0.8233
0.5776 0.0315 0.3233
0.9224 0.4685 0.3233
0.9685 0.0776 0.8233
0.0808 0.6651 0.1808
0.1651 0.9192 0.6808
0.3349 0.5808 0.6808
0.4192 0.8349 0.1808
0.5808 0.1651 0.8192
0.6651 0.4192 0.3192
0.8349 0.0808 0.3192
0.9192 0.3349 0.8192
```